No. 1
Na2MgPt2: optimized geometry, PBEsol.

Summary:
- energy relative to the elements (meV per atom) = 87.1
- density of states at the Fermi level (states/eV per atom) = 0.326
- theoretical density (g/cm3) = 8.2

a = 3.6410 Å, b = 3.6410 Å, c = 14.0695 Å
α = 90.00°, β = 90.00°, γ = 90.00°
Space group I4/mmm (No. 139)
Inequivalent atoms, fractional coordinates:
Na  0.0000  0.5000  0.2500 (multiplicity 4)
Mg  0.0000  0.0000  0.0000 (multiplicity 2)
Pt  0.0000  0.0000  0.4073 (multiplicity 4)

=====

No. 2
NaSr2MgPt: optimized geometry, PBEsol.

Summary:
- energy relative to the elements (meV per atom) = -346.4
- density of states at the Fermi level (states/eV per atom) = 0.445
- theoretical density (g/cm3) = 3.9

a = 5.8345 Å, b = 5.8345 Å, c = 5.2025 Å
α = 90.00°, β = 90.00°, γ = 90.00°
Space group P4/mmm (No. 123)
Inequivalent atoms, fractional coordinates:
Na  0.0000  0.0000  0.0000 (multiplicity 1)
Sr  0.0000  0.5000  0.5000 (multiplicity 2)
Mg  0.5000  0.5000  0.0000 (multiplicity 1)
Pt  0.5000  0.5000  0.5000 (multiplicity 1)

=====

No. 3
NaMg3Re: optimized geometry, PBEsol.

Summary:
- energy relative to the elements (meV per atom) = 1639.4
- density of states at the Fermi level (states/eV per atom) = 0.460
- theoretical density (g/cm3) = 4.5

a = 4.7010 Å, b = 4.7010 Å, c = 4.7010 Å
α = 90.00°, β = 90.00°, γ = 90.00°
Space group Pm-3m (No. 221)
Inequivalent atoms, fractional coordinates:
Na  0.0000  0.0000  0.0000 (multiplicity 1)
Mg  0.0000  0.0000  0.5000 (multiplicity 3)
Re  0.5000  0.5000  0.5000 (multiplicity 1)

=====

No. 4
NaMg2Re: optimized geometry, PBEsol.

Summary:
- energy relative to the elements (meV per atom) = 793.2
- density of states at the Fermi level (states/eV per atom) = 0.706
- theoretical density (g/cm3) = 5.7

a = 6.6915 Å, b = 6.6915 Å, c = 6.6915 Å
α = 90.00°, β = 90.00°, γ = 90.00°
Space group Fm-3m (No. 225)
Inequivalent atoms, fractional coordinates:
Na  0.0000  0.0000  0.0000 (multiplicity 4)
Mg  0.2500  0.2500  0.2500 (multiplicity 8)
Re  0.0000  0.0000  0.5000 (multiplicity 4)

=====

No. 5
Na2Mg2Re: optimized geometry, PBEsol.

Summary:
- energy relative to the elements (meV per atom) = 961.0
- density of states at the Fermi level (states/eV per atom) = 0.661
- theoretical density (g/cm3) = 4.3

a = 3.5926 Å, b = 3.5926 Å, c = 16.6466 Å
α = 90.00°, β = 90.00°, γ = 90.00°
Space group I4/mmm (No. 139)
Inequivalent atoms, fractional coordinates:
Na  0.0000  0.5000  0.2500 (multiplicity 4)
Mg  0.0000  0.0000  0.0803 (multiplicity 4)
Re  0.0000  0.0000  0.5000 (multiplicity 2)

=====

No. 6
NaMg2RuW: optimized geometry, PBEsol.

Summary:
- energy relative to the elements (meV per atom) = 1094.5
- density of states at the Fermi level (states/eV per atom) = 0.927
- theoretical density (g/cm3) = 4.6

a = 5.3204 Å, b = 5.3204 Å, c = 4.5037 Å
α = 90.00°, β = 90.00°, γ = 90.00°
Space group P4/mmm (No. 123)
Inequivalent atoms, fractional coordinates:
Na  0.0000  0.0000  0.0000 (multiplicity 1)
Mg  0.0000  0.5000  0.5000 (multiplicity 2)
Ru  0.5000  0.5000  0.0000 (multiplicity 1)
W  0.5000  0.5000  0.5000 (multiplicity 1)

=====

No. 7
Na2MgWS: optimized geometry, PBEsol.

Summary:
- E_form (uncorrected) (meV per atom) = 1593.4
- density of states at the Fermi level (states/eV per atom) = 0.595
- theoretical density (g/cm3) = 2.8

a = 5.5949 Å, b = 5.5949 Å, c = 5.3427 Å
α = 90.00°, β = 90.00°, γ = 90.00°
Space group P4/mmm (No. 123)
Inequivalent atoms, fractional coordinates:
Na  0.0000  0.5000  0.0000 (multiplicity 2)
Mg  0.0000  0.0000  0.5000 (multiplicity 1)
W  0.0000  0.0000  0.0000 (multiplicity 1)
S  0.5000  0.5000  0.5000 (multiplicity 1)

=====

No. 8
NaMg3Sb: optimized geometry, PBEsol.

Summary:
- E_form (uncorrected) (meV per atom) = 652.1
- density of states at the Fermi level (states/eV per atom) = 0.540
- theoretical density (g/cm3) = 2.6

a = 5.1803 Å, b = 5.1803 Å, c = 5.1803 Å
α = 90.00°, β = 90.00°, γ = 90.00°
Space group Pm-3m (No. 221)
Inequivalent atoms, fractional coordinates:
Na  0.0000  0.0000  0.0000 (multiplicity 1)
Mg  0.0000  0.0000  0.5000 (multiplicity 3)
Sb  0.5000  0.5000  0.5000 (multiplicity 1)

=====

> The lowest theoretical density belongs to which entry?

NaMg3Sb

=====

> Look up the theoretical density of the first one.

8.2 g/cm3

=====

> Look up the density of states at the Fermi level of the seventh one.

0.595 states/eV per atom